Density functional theory data (GGA-PBE) for CdTeSeI2 after structural relaxation.

## Properties
As for the space group: P4/mmm (123). As for the density of states at the Fermi level: 5.394 states/eV per cell. The total magnetization comes out at 0.0 μB per cell. The energy above the most stable polymorph in this dataset comes out at 0 meV per atom.

Cell and atoms, written as extended XYZ:
```
5
Lattice="-3.1606 -4.0879 2.4820 4.0260 -3.8801 -1.2637 2.5427 1.0308 4.9357" Properties=species:S:1:pos:R:3 pbc="T T T"
Cd 1.7040 -3.4685 3.0770
Se 0.0000 0.0000 0.0000
I 2.0130 -1.9400 -0.6318
I -1.5803 -2.0439 1.2410
Te 1.2713 0.5154 2.4679
```

Density functional theory data (GGA-PBE) for CdTe2SeI after structural relaxation.

## Properties
As for the space group: P4/mmm (123). As for the density of states at the Fermi level: 6.592 states/eV per cell. The total magnetization comes out at 0.3 μB per cell. The energy above the most stable polymorph in this dataset comes out at 281 meV per atom.

Cell and atoms, written as extended XYZ:
```
5
Lattice="-3.2298 4.2383 -1.9295 -3.8071 -1.0509 4.0643 2.6361 3.5510 3.3874" Properties=species:S:1:pos:R:3 pbc="T T T"
Te -1.9035 -0.5255 2.0322
Te -1.6149 2.1191 -0.9647
Se -2.2004 3.3692 2.7611
I 1.3180 1.7755 1.6937
Cd 0.0000 0.0000 0.0000
```

Density functional theory data (GGA-PBE) for CdTeSeI2 after structural relaxation.

## Properties
As for the space group: P4/mmm (123). As for the density of states at the Fermi level: 6.207 states/eV per cell. The total magnetization comes out at 1.1 μB per cell. The energy above the most stable polymorph in this dataset comes out at 204 meV per atom.

Cell and atoms, written as extended XYZ:
```
5
Lattice="5.7660 0.0000 0.0000 0.0000 5.7660 0.0000 0.0000 0.0000 5.8527" Properties=species:S:1:pos:R:3 pbc="T T T"
Te 0.0000 0.0000 2.9263
I 2.8830 0.0000 0.0000
I 0.0000 2.8830 0.0000
Se 2.8830 2.8830 2.9263
Cd 0.0000 0.0000 0.0000
```

Density functional theory data (GGA-PBE) for CdTe2SeI after structural relaxation.

## Properties
As for the space group: P4/mmm (123). As for the density of states at the Fermi level: 4.622 states/eV per cell. The total magnetization comes out at 0.0 μB per cell. The energy above the most stable polymorph in this dataset comes out at 0 meV per atom.

Cell and atoms, written as extended XYZ:
```
5
Lattice="5.5734 0.0000 0.0000 0.0000 5.5734 0.0000 0.0000 0.0000 5.6319" Properties=species:S:1:pos:R:3 pbc="T T T"
Te 2.7867 0.0000 0.0000
Te 0.0000 2.7867 0.0000
I 0.0000 0.0000 2.8159
Cd 2.7867 2.7867 2.8159
Se 0.0000 0.0000 0.0000
```

What are the energy relative to the elements, uncorrected values for these records? In order: 136.6 310.0 235.3 174.5 kJ/mol of formula units.
What are the volume values for these records? In order: 37.1 35.8 38.9 35.0 Å³/atom.